(1)
{
  "formula": "LiLuSiNi",
  "functional": "PBE",
  "state": "relaxed",
  "total_energy_ev_per_atom": -4.9204,
  "vol_a3_per_atom": 14.4,
  "sg": "F-43m, No. 216",
  "lattice_angstrom": [[0.0000, 3.0647, 3.0647], [3.0647, 0.0000, 3.0647], [3.0647, 3.0647, 0.0000]],
  "species": ["Li", "Lu", "Si", "Ni"],
  "fractional_positions": [[0.0000, 0.0000, 0.0000], [0.2500, 0.2500, 0.2500], [0.7500, 0.7500, 0.7500], [0.5000, 0.5000, 0.5000]]
}

(2)
{
  "formula": "LiLuNiTe3",
  "functional": "PBE",
  "state": "relaxed",
  "total_energy_ev_per_atom": -4.3711,
  "vol_a3_per_atom": 26.9,
  "sg": "P2_1/m, No. 11",
  "lattice_angstrom": [[8.5190, 0.0000, 0.0000], [0.0000, 4.0715, 0.0000], [-2.7050, 0.0000, 9.3125]],
  "species": ["Li", "Li", "Lu", "Lu", "Ni", "Ni", "Te", "Te", "Te", "Te", "Te", "Te"],
  "fractional_positions": [[0.1866, 0.2500, 0.1707], [0.8134, 0.7500, 0.8293], [0.3204, 0.7500, 0.8417], [0.6796, 0.2500, 0.1583], [0.0932, 0.2500, 0.5913], [0.9068, 0.7500, 0.4087], [0.0647, 0.2500, 0.8478], [0.2150, 0.7500, 0.5120], [0.4238, 0.7500, 0.1671], [0.5762, 0.2500, 0.8329], [0.7850, 0.2500, 0.4880], [0.9353, 0.7500, 0.1522]]
}

(3)
{
  "formula": "LiLuNiTe3",
  "functional": "PBE",
  "state": "relaxed",
  "total_energy_ev_per_atom": -4.3481,
  "vol_a3_per_atom": 25.5,
  "sg": "Cmcm, No. 63",
  "lattice_angstrom": [[2.0023, -7.3690, 0.0000], [2.0023, 7.3690, 0.0000], [0.0000, 0.0000, 10.3831]],
  "species": ["Li", "Li", "Lu", "Lu", "Ni", "Ni", "Te", "Te", "Te", "Te", "Te", "Te"],
  "fractional_positions": [[0.2333, 0.7667, 0.7500], [0.7667, 0.2333, 0.2500], [0.0000, 0.0000, 0.0000], [0.0000, 0.0000, 0.5000], [0.4890, 0.5110, 0.2500], [0.5110, 0.4890, 0.7500], [0.1000, 0.9000, 0.2500], [0.3608, 0.6392, 0.0854], [0.3608, 0.6392, 0.4146], [0.6392, 0.3608, 0.5854], [0.6392, 0.3608, 0.9146], [0.9000, 0.1000, 0.7500]]
}

(4)
{
  "formula": "LiLuNiTe3",
  "functional": "PBE",
  "state": "relaxed",
  "total_energy_ev_per_atom": -4.3173,
  "vol_a3_per_atom": 24.3,
  "sg": "Pnma, No. 62",
  "lattice_angstrom": [[12.0749, 0.0000, 0.0000], [0.0000, 4.0956, 0.0000], [0.0000, 0.0000, 11.8035]],
  "species": ["Li", "Li", "Li", "Li", "Lu", "Lu", "Lu", "Lu", "Ni", "Ni", "Ni", "Ni", "Te", "Te", "Te", "Te", "Te", "Te", "Te", "Te", "Te", "Te", "Te", "Te"],
  "fractional_positions": [[0.2316, 0.2500, 0.0541], [0.2684, 0.7500, 0.5541], [0.7316, 0.2500, 0.4459], [0.7684, 0.7500, 0.9459], [0.0519, 0.2500, 0.2999], [0.4481, 0.7500, 0.7999], [0.5519, 0.2500, 0.2001], [0.9481, 0.7500, 0.7001], [0.2412, 0.7500, 0.2294], [0.2588, 0.2500, 0.7294], [0.7412, 0.7500, 0.2706], [0.7588, 0.2500, 0.7706], [0.0691, 0.7500, 0.1138], [0.0963, 0.2500, 0.5799], [0.1906, 0.7500, 0.8275], [0.3094, 0.2500, 0.3275], [0.4037, 0.7500, 0.0799], [0.4309, 0.2500, 0.6138], [0.5691, 0.7500, 0.3862], [0.5963, 0.2500, 0.9201], [0.6906, 0.7500, 0.6725], [0.8094, 0.2500, 0.1725], [0.9037, 0.7500, 0.4201], [0.9309, 0.2500, 0.8862]]
}